## Pm6BeS5 (PBE)

Data for a geometry-optimized Pm6BeS5 structure.

Cell: 7.0330 12.1625 7.0022 Å, 90.00 109.50 90.00°
Space group C2/m (No. 12)
Asymmetric unit:
Pm (0.2460, 0.0000, 0.2530) x4
Pm (0.2466, 0.1646, 0.7472) x8
Be (0.0000, 0.0000, 0.5000) x2
S (0.0000, 0.1686, 0.0000) x4
S (0.0000, 0.3340, 0.5000) x4
S (0.0000, 0.5000, 0.0000) x2

Computed properties:
raw formation energy = -1.683 eV per atom
VASP energy = -6.0885 eV per atom